# 1
This record from the Alexandria database describes a relaxed Cs3Ge5I12 crystal. The functional is GGA-PBE. Values from VASP.

Results
SG ... Ia-3d
Total moment ... 0.0 μB per cell

Quantum ESPRESSO input file:
```
&SYSTEM
  ibrav = 0, nat = 80, ntyp = 3
/
ATOMIC_SPECIES
Cs 132.91 Cs.upf
Ge 72.64 Ge.upf
I 126.90 I.upf
CELL_PARAMETERS angstrom
17.165 0.000 0.000
-5.722 16.183 0.000
-5.722 -8.092 14.015
ATOMIC_POSITIONS angstrom
Cs 10.013 5.057 1.752
Cs 10.013 11.126 1.752
Cs -1.430 7.080 8.759
Cs 1.430 -1.011 5.256
Cs 12.874 0.000 3.504
Cs 1.430 8.092 3.504
Cs 4.291 0.000 10.511
Cs -7.152 8.092 10.511
Cs 4.291 9.103 8.759
Cs 7.152 1.011 5.256
Cs -4.291 -3.034 12.263
Cs -4.291 3.034 12.263
Ge -1.430 4.046 3.504
Ge -2.861 8.092 0.000
Ge 0.000 0.000 0.000
Ge 4.291 3.034 1.752
Ge 5.722 -4.046 7.008
Ge 5.722 8.092 0.000
Ge -4.291 9.103 5.256
Ge 7.152 -5.057 12.263
Ge 7.152 7.080 5.256
Ge 1.430 -4.046 10.511
Ge 4.291 12.137 3.504
Ge 2.861 4.046 7.008
Ge 8.582 0.000 0.000
Ge -2.861 -4.046 7.008
Ge -1.430 1.011 8.759
Ge -1.430 13.149 1.752
Ge -5.722 4.046 7.008
Ge 10.013 -1.011 8.759
Ge 1.430 5.057 12.263
Ge 7.152 4.046 10.511
I 11.152 1.656 0.152
I 0.291 5.006 5.649
I 12.956 3.833 4.355
I 7.069 2.191 1.510
I 2.156 5.665 9.508
I 12.542 8.216 2.500
I -1.513 9.734 5.865
I -4.209 13.992 1.510
I 0.705 10.518 9.508
I 7.483 7.967 2.500
I 8.873 4.742 5.497
I 8.873 14.527 0.152
I -5.017 7.021 7.160
I 3.960 5.864 1.142
I -6.013 11.441 5.497
I 3.152 -3.086 8.366
I -0.705 1.356 2.653
I 3.960 10.195 1.358
I 7.069 12.350 4.355
I -1.099 5.989 1.358
I -3.566 9.447 11.363
I 4.374 6.449 5.865
I 7.878 9.162 7.160
I 6.821 -2.228 12.873
I 1.348 1.642 8.150
I -2.156 -1.071 6.855
I -1.099 10.319 1.142
I -1.348 -4.258 9.660
I 9.287 -1.356 2.653
I 6.821 2.103 12.657
I 1.762 -2.103 12.657
I 2.570 11.177 5.649
I 6.426 6.736 11.363
I 11.734 -3.350 8.518
I 10.738 1.071 6.855
I -3.152 -6.435 13.863
I 1.762 2.228 12.873
I 5.017 -2.426 4.507
I -1.762 0.125 11.515
I -3.152 3.350 8.518
I 9.930 -5.901 12.505
I 7.235 -1.642 8.150
I -1.348 5.901 12.505
I -6.821 -0.125 11.515
I 3.566 2.426 4.507
I -7.235 4.258 9.660
I 5.431 3.086 8.366
I -5.431 6.435 13.863
```

# 2
This record from the Alexandria database describes a relaxed Cs3Ge2I8 crystal. The functional is GGA-PBE. Values from VASP.

Results
SG ... R-3m
Total moment ... 0.0 μB per cell

Quantum ESPRESSO input file:
```
&SYSTEM
  ibrav = 0, nat = 13, ntyp = 3
/
ATOMIC_SPECIES
Cs 132.91 Cs.upf
Ge 72.64 Ge.upf
I 126.90 I.upf
CELL_PARAMETERS angstrom
-6.918 -4.807 -1.731
0.119 -8.446 1.615
-6.066 -2.557 9.976
ATOMIC_POSITIONS angstrom
Cs 0.000 0.000 0.000
Cs -9.175 -12.089 6.148
Cs -3.689 -3.721 3.711
Ge -5.417 -8.402 2.255
Ge -7.447 -7.408 7.605
I -10.521 -11.430 9.696
I -2.343 -4.380 0.163
I -3.203 -8.049 3.938
I -6.995 -6.087 2.135
I -6.931 -10.640 3.005
I -5.868 -9.722 7.725
I -9.661 -7.761 5.921
I -5.933 -5.170 6.854
```

Calculated energy relative to the elements, uncorrected (eV/atom), listed in the same order as above: -0.581 -0.838
Calculated uncorrected energy (eV for the cell shown), listed in the same order as above: -223.448 -35.085